[1]
The following is a PBE calculation of a relaxed Rb2LiHoI6 crystal, from the Alexandria database.

The structure in POSCAR format:
```
Rb2LiHoI6
1.0
-7.817 -1.685 2.236
2.849 -3.646 7.213
-0.703 10.439 5.554
Rb Li Ho I
4 2 2 12
direct
0.020 0.936 0.251
0.520 0.564 0.751
0.980 0.064 0.749
0.480 0.436 0.249
0.500 0.000 0.000
0.000 0.500 0.500
0.500 0.000 0.500
0.000 0.500 0.000
0.295 0.702 0.037
0.795 0.798 0.537
0.705 0.298 0.963
0.205 0.202 0.463
0.299 0.708 0.465
0.799 0.792 0.965
0.701 0.292 0.535
0.201 0.208 0.035
0.927 0.507 0.251
0.427 0.993 0.751
0.073 0.493 0.749
0.573 0.007 0.249
```

Calculated values
space group = P2_1/c (14)
formation energy (no corrections) = -1.397 eV/atom

=====

[2]
The following is a PBE calculation of a relaxed LaCe2V crystal, from the Alexandria database.

The structure in POSCAR format:
```
LaCe2V
1.0
3.183 0.000 0.000
1.591 2.756 0.000
1.591 0.919 11.267
V Ce La
1 2 1
direct
0.000 0.000 0.000
0.074 0.074 0.779
0.926 0.926 0.221
0.500 0.500 0.500
```

Calculated values
space group = R-3m (166)
formation enthalpy at 0 K = 0.512 eV/atom

=====

[3]
The following is a PBE calculation of a relaxed Fe2AsAu crystal, from the Alexandria database.

The structure in POSCAR format:
```
Fe2AsAu
1.0
3.907 0.000 0.000
0.000 3.909 0.000
0.000 0.000 3.927
As Au Fe
1 1 2
direct
0.500 0.000 0.500
0.000 0.500 0.500
0.000 0.000 0.000
0.500 0.500 0.000
```

Calculated values
space group = P4/mmm (123)
formation enthalpy at 0 K = 0.232 eV/atom

=====

[4]
The following is a PBE calculation of a relaxed Nd3Sm2Sn2 crystal, from the Alexandria database.

The structure in POSCAR format:
```
Nd3Sm2Sn2
1.0
-0.258 -2.206 -2.790
-0.778 -6.315 5.065
-7.102 5.379 -1.317
Nd Sm Sn
3 2 2
direct
0.000 0.500 0.000
0.212 0.770 0.425
0.788 0.230 0.575
0.890 0.751 0.781
0.110 0.249 0.219
0.582 0.889 0.165
0.418 0.111 0.835
```

Calculated values
space group = C2/m (12)
formation enthalpy at 0 K = -0.294 eV/atom

=====

[5]
The following is a PBE calculation of a relaxed CoBr crystal, from the Alexandria database.

The structure in POSCAR format:
```
CoBr
1.0
-8.035 5.880 -1.984
-2.338 -5.875 -7.943
-2.069 -2.099 2.161
Co Br
8 8
direct
0.293 0.803 0.000
0.707 0.197 0.000
0.197 0.293 0.000
0.803 0.707 0.000
0.793 0.303 0.500
0.207 0.697 0.500
0.697 0.793 0.500
0.303 0.207 0.500
0.462 0.245 0.000
0.538 0.755 0.000
0.755 0.462 0.000
0.245 0.538 0.000
0.962 0.745 0.500
0.038 0.255 0.500
0.255 0.962 0.500
0.745 0.038 0.500
```

Calculated values
space group = I4/m (87)
energy above the lowest structure with this stoichiometry = 0.2665 eV per atom
formation energy (no corrections) = 0.152 eV/atom

=====

[6]
The following is a PBE calculation of a relaxed RbReP2Cl crystal, from the Alexandria database.

The structure in POSCAR format:
```
RbReP2Cl
1.0
4.593 0.000 0.000
0.000 4.593 0.000
0.000 0.000 5.682
Re P Rb Cl
1 2 1 1
direct
0.000 0.000 0.000
0.000 0.500 0.000
0.500 0.000 0.000
0.500 0.500 0.500
0.000 0.000 0.500
```

Calculated values
space group = P4/mmm (123)
energy above the lowest structure with this stoichiometry = 0.0000 eV per atom
formation energy (no corrections) = -0.204 eV/atom

=====

no.,VASP energy (eV/atom)
1,-3.170
2,-5.967
3,-5.981
4,-4.829
5,-4.237
6,-5.421